Record 1
The following is a GGA-PBE calculation of a geometry-optimized ErPaTeIr structure, from the Alexandria database.

## Properties
Formation energy (no corrections) = -0.945 eV per atom
Crystal system = trigonal

Cell lengths 4.064, 4.064, 7.811 Å; angles 90.00, 105.07, 120.00 degrees
Fractional positions:
Er1 0.498 0.147 0.660
Te1 0.967 0.382 0.364
Pa1 0.103 0.949 0.068
Ir1 0.310 0.553 0.878

Record 2
The following is a GGA-PBE calculation of a geometry-optimized HfTiMn2W structure, from the Alexandria database.

## Properties
DFT total energy = -39.55 eV per cell
Crystal system = tetragonal

Cell lengths 4.338, 4.653, 4.338 Å; angles 90.00, 90.00, 90.00 degrees
Fractional positions:
Hf1 0.000 0.000 0.000
W1 0.500 0.500 0.500
Mn1 0.500 0.000 0.000
Mn2 0.000 0.000 0.500
Ti1 0.000 0.500 0.000

Number 1: spin magnetization 0.00 μB/f.u.. Number 2: spin magnetization 0.00 μB/f.u..